Entry 1:
Below is Zr9BMo4 after structural relaxation, with properties calculated at the GGA-PBE level.

a = 8.641 Å, b = 8.641 Å, c = 8.591 Å
α = 90.00°, β = 90.00°, γ = 120.00°
Fractional coordinates of all 28 atoms:
Zr 0.079 0.539 0.250
Zr 0.203 0.407 0.556
Zr 0.203 0.407 0.944
Zr 0.203 0.797 0.556
Zr 0.203 0.797 0.944
Zr 0.407 0.203 0.056
Zr 0.407 0.203 0.444
Zr 0.461 0.539 0.250
Zr 0.461 0.921 0.250
Zr 0.539 0.079 0.750
Zr 0.539 0.461 0.750
Zr 0.593 0.797 0.556
Zr 0.593 0.797 0.944
Zr 0.797 0.203 0.056
Zr 0.797 0.203 0.444
Zr 0.797 0.593 0.056
Zr 0.797 0.593 0.444
Zr 0.921 0.461 0.750
B 0.333 0.667 0.750
B 0.667 0.333 0.250
Mo 0.000 0.000 0.000
Mo 0.000 0.000 0.500
Mo 0.110 0.220 0.250
Mo 0.110 0.890 0.250
Mo 0.220 0.110 0.750
Mo 0.780 0.890 0.250
Mo 0.890 0.110 0.750
Mo 0.890 0.780 0.750

Total moment ... 0.0005 μB per atom

***

Entry 2:
Below is Zr2BMo after structural relaxation, with properties calculated at the GGA-PBE level.

a = 4.506 Å, b = 4.506 Å, c = 4.506 Å
α = 60.00°, β = 60.00°, γ = 60.00°
Fractional coordinates of all 4 atoms:
Zr 0.000 0.000 0.000
Zr 0.250 0.250 0.250
B 0.500 0.500 0.500
Mo 0.750 0.750 0.750

Total moment ... 0.1716 μB per atom

***

Sequential total DFT energy (no corrections) output: -9.20 -8.15 eV/atom